First-principles (GGA-PBE) data for a relaxed YBiSeBr2 crystal, as listed in Alexandria via LeMat-Bulk.

abc: 5.5020 5.5020 5.7093
angles: 90.00 90.00 90.00
Closest atoms and distances in Å follow each position.
Positions (direct):
1 Br 0.0000 0.5000 0.0000  2 Y 2.75
2 Br 0.5000 0.0000 0.0000  2 Y 2.75
3 Y 0.0000 0.0000 0.0000  4 Br 2.75, 2 Se 2.85
4 Se 0.0000 0.0000 0.5000  2 Y 2.85
5 Bi 0.5000 0.5000 0.5000  4 Se 3.89, 8 Br 3.96

## Properties
Its symmetry is P4/mmm. For the total magnetization, the calculation gives 2.0 μB per cell. The offset from the most stable computed form is 0.00 kcal/mol of atoms.